i | # PBE RbNaHg2, relaxed
# Size of the total moment ... 0.0 μB/f.u.
# DOS at the Fermi energy ... 3.6 states/eV per cell
# Crystal system ... tetragonal
data_RbNaHg2
_symmetry_space_group_name_H-M 'P 1'
_symmetry_Int_Tables_number 1
_symmetry_space_group_name_Hall 'P 1'
_cell_length_a 11.507
_cell_length_b 11.507
_cell_length_c 11.507
_cell_angle_alpha 151.41
_cell_angle_beta 151.41
_cell_angle_gamma 40.87
loop_
_atom_site_label
_atom_site_type_symbol
_atom_site_fract_x
_atom_site_fract_y
_atom_site_fract_z
Rb1 Rb 0.000 0.000 0.000
Rb2 Rb 0.750 0.250 0.500
Na1 Na 0.250 0.750 0.500
Na2 Na 0.500 0.500 0.000
Hg1 Hg 0.281 0.625 0.156
Hg2 Hg 0.375 0.531 0.656
Hg3 Hg 0.469 0.125 0.844
Hg4 Hg 0.875 0.719 0.344



ii | # PBE RbNaHg2, relaxed
# Size of the total moment ... 0.0 μB/f.u.
# DOS at the Fermi energy ... 1.1 states/eV per cell
# Crystal system ... trigonal
data_RbNaHg2
_symmetry_space_group_name_H-M 'P 1'
_symmetry_Int_Tables_number 1
_symmetry_space_group_name_Hall 'P 1'
_cell_length_a 7.084
_cell_length_b 7.084
_cell_length_c 7.084
_cell_angle_alpha 43.61
_cell_angle_beta 43.61
_cell_angle_gamma 43.61
loop_
_atom_site_label
_atom_site_type_symbol
_atom_site_fract_x
_atom_site_fract_y
_atom_site_fract_z
Rb1 Rb 0.000 0.000 0.000
Na1 Na 0.190 0.190 0.190
Hg1 Hg 0.467 0.467 0.467
Hg2 Hg 0.796 0.796 0.796



On energetic grounds, ii is preferred over the next structure by 0.090 eV/atom.



i | # PBE Rb2NaHg2, relaxed
# Size of the total moment ... 0.0 μB/f.u.
# DOS at the Fermi energy ... 4.5 states/eV per cell
# Crystal system ... tetragonal
data_Rb2NaHg2
_symmetry_space_group_name_H-M 'P 1'
_symmetry_Int_Tables_number 1
_symmetry_space_group_name_Hall 'P 1'
_cell_length_a 8.922
_cell_length_b 8.922
_cell_length_c 5.415
_cell_angle_alpha 90.00
_cell_angle_beta 90.00
_cell_angle_gamma 90.00
loop_
_atom_site_label
_atom_site_type_symbol
_atom_site_fract_x
_atom_site_fract_y
_atom_site_fract_z
Rb1 Rb 0.176 0.324 0.000
Rb2 Rb 0.324 0.824 0.000
Rb3 Rb 0.676 0.176 0.000
Rb4 Rb 0.824 0.676 0.000
Na1 Na 0.000 0.000 0.500
Na2 Na 0.500 0.500 0.500
Hg1 Hg 0.124 0.624 0.500
Hg2 Hg 0.376 0.124 0.500
Hg3 Hg 0.624 0.876 0.500
Hg4 Hg 0.876 0.376 0.500



ii | # PBE Rb2NaHg2, relaxed
# Size of the total moment ... 0.0 μB/f.u.
# DOS at the Fermi energy ... 5.4 states/eV per cell
# Crystal system ... tetragonal
data_Rb2NaHg2
_symmetry_space_group_name_H-M 'P 1'
_symmetry_Int_Tables_number 1
_symmetry_space_group_name_Hall 'P 1'
_cell_length_a 8.160
_cell_length_b 8.160
_cell_length_c 8.160
_cell_angle_alpha 137.17
_cell_angle_beta 137.17
_cell_angle_gamma 62.17
loop_
_atom_site_label
_atom_site_type_symbol
_atom_site_fract_x
_atom_site_fract_y
_atom_site_fract_z
Rb1 Rb 0.250 0.750 0.500
Rb2 Rb 0.750 0.250 0.500
Na1 Na 0.000 0.000 0.000
Hg1 Hg 0.397 0.397 0.000
Hg2 Hg 0.603 0.603 0.000



On energetic grounds, i is preferred over the next structure by 0.131 eV/atom.



i | # PBE Rb2NaHg2, relaxed
# Size of the total moment ... 0.0 μB/f.u.
# DOS at the Fermi energy ... 4.8 states/eV per cell
# Crystal system ... monoclinic
data_Rb2NaHg2
_symmetry_space_group_name_H-M 'P 1'
_symmetry_Int_Tables_number 1
_symmetry_space_group_name_Hall 'P 1'
_cell_length_a 7.174
_cell_length_b 7.174
_cell_length_c 9.763
_cell_angle_alpha 101.08
_cell_angle_beta 101.08
_cell_angle_gamma 60.58
loop_
_atom_site_label
_atom_site_type_symbol
_atom_site_fract_x
_atom_site_fract_y
_atom_site_fract_z
Rb1 Rb 0.011 0.284 0.146
Rb2 Rb 0.284 0.011 0.646
Rb3 Rb 0.716 0.989 0.354
Rb4 Rb 0.989 0.716 0.854
Na1 Na 0.385 0.615 0.250
Na2 Na 0.615 0.385 0.750
Hg1 Hg 0.222 0.495 0.493
Hg2 Hg 0.495 0.222 0.993
Hg3 Hg 0.505 0.778 0.007
Hg4 Hg 0.778 0.505 0.507



ii | # PBE Rb2NaHg2, relaxed
# Size of the total moment ... 0.0 μB/f.u.
# DOS at the Fermi energy ... 4.5 states/eV per cell
# Crystal system ... tetragonal
data_Rb2NaHg2
_symmetry_space_group_name_H-M 'P 1'
_symmetry_Int_Tables_number 1
_symmetry_space_group_name_Hall 'P 1'
_cell_length_a 10.719
_cell_length_b 10.719
_cell_length_c 3.931
_cell_angle_alpha 90.00
_cell_angle_beta 90.00
_cell_angle_gamma 90.00
loop_
_atom_site_label
_atom_site_type_symbol
_atom_site_fract_x
_atom_site_fract_y
_atom_site_fract_z
Rb1 Rb 0.183 0.317 0.000
Rb2 Rb 0.317 0.817 0.000
Rb3 Rb 0.683 0.183 0.000
Rb4 Rb 0.817 0.683 0.000
Na1 Na 0.000 0.000 0.000
Na2 Na 0.500 0.500 0.000
Hg1 Hg 0.104 0.604 0.500
Hg2 Hg 0.396 0.104 0.500
Hg3 Hg 0.604 0.896 0.500
Hg4 Hg 0.896 0.396 0.500



On energetic grounds, i is preferred over the next structure by 0.100 eV/atom.



i | # PBE Rb5Na2Hg4, relaxed
# Size of the total moment ... 0.0 μB/f.u.
# DOS at the Fermi energy ... 5.8 states/eV per cell
# Crystal system ... monoclinic
data_Rb5Na2Hg4
_symmetry_space_group_name_H-M 'P 1'
_symmetry_Int_Tables_number 1
_symmetry_space_group_name_Hall 'P 1'
_cell_length_a 10.568
_cell_length_b 10.568
_cell_length_c 9.477
_cell_angle_alpha 98.20
_cell_angle_beta 98.20
_cell_angle_gamma 29.74
loop_
_atom_site_label
_atom_site_type_symbol
_atom_site_fract_x
_atom_site_fract_y
_atom_site_fract_z
Rb1 Rb 0.000 0.000 0.000
Rb2 Rb 0.314 0.314 0.393
Rb3 Rb 0.333 0.333 0.900
Rb4 Rb 0.667 0.667 0.100
Rb5 Rb 0.686 0.686 0.607
Na1 Na 0.055 0.055 0.641
Na2 Na 0.945 0.945 0.359
Hg1 Hg 0.117 0.117 0.342
Hg2 Hg 0.472 0.472 0.656
Hg3 Hg 0.528 0.528 0.344
Hg4 Hg 0.883 0.883 0.658



ii | # PBE Rb5Na2Hg4, relaxed
# Size of the total moment ... 0.0 μB/f.u.
# DOS at the Fermi energy ... 6.2 states/eV per cell
# Crystal system ... monoclinic
data_Rb5Na2Hg4
_symmetry_space_group_name_H-M 'P 1'
_symmetry_Int_Tables_number 1
_symmetry_space_group_name_Hall 'P 1'
_cell_length_a 7.865
_cell_length_b 7.865
_cell_length_c 9.866
_cell_angle_alpha 105.32
_cell_angle_beta 105.32
_cell_angle_gamma 68.91
loop_
_atom_site_label
_atom_site_type_symbol
_atom_site_fract_x
_atom_site_fract_y
_atom_site_fract_z
Rb1 Rb 0.000 0.000 0.000
Rb2 Rb 0.077 0.556 0.314
Rb3 Rb 0.444 0.923 0.686
Rb4 Rb 0.556 0.077 0.314
Rb5 Rb 0.923 0.444 0.686
Na1 Na 0.455 0.455 0.804
Na2 Na 0.545 0.545 0.196
Hg1 Hg 0.065 0.065 0.389
Hg2 Hg 0.293 0.293 0.995
Hg3 Hg 0.707 0.707 0.005
Hg4 Hg 0.935 0.935 0.611



On energetic grounds, i is preferred over the next structure by 0.021 eV/atom.



i | # PBE Rb2Na5Hg, relaxed
# Size of the total moment ... 0.0 μB/f.u.
# DOS at the Fermi energy ... 4.0 states/eV per cell
# Crystal system ... monoclinic
data_Rb2Na5Hg
_symmetry_space_group_name_H-M 'P 1'
_symmetry_Int_Tables_number 1
_symmetry_space_group_name_Hall 'P 1'
_cell_length_a 7.167
_cell_length_b 7.167
_cell_length_c 9.160
_cell_angle_alpha 112.95
_cell_angle_beta 112.95
_cell_angle_gamma 90.05
loop_
_atom_site_label
_atom_site_type_symbol
_atom_site_fract_x
_atom_site_fract_y
_atom_site_fract_z
Rb1 Rb 0.250 0.750 0.000
Rb2 Rb 0.750 0.250 0.000
Na1 Na 0.140 0.140 0.780
Na2 Na 0.238 0.238 0.465
Na3 Na 0.238 0.727 0.465
Na4 Na 0.727 0.238 0.465
Na5 Na 0.727 0.727 0.465
Hg1 Hg 0.346 0.346 0.192



ii | # PBE Rb2Na5Hg, relaxed
# Size of the total moment ... 0.0 μB/f.u.
# DOS at the Fermi energy ... 4.9 states/eV per cell
# Crystal system ... triclinic
data_Rb2Na5Hg
_symmetry_space_group_name_H-M 'P 1'
_symmetry_Int_Tables_number 1
_symmetry_space_group_name_Hall 'P 1'
_cell_length_a 7.680
_cell_length_b 7.680
_cell_length_c 8.152
_cell_angle_alpha 112.56
_cell_angle_beta 112.26
_cell_angle_gamma 100.90
loop_
_atom_site_label
_atom_site_type_symbol
_atom_site_fract_x
_atom_site_fract_y
_atom_site_fract_z
Rb1 Rb 0.000 0.000 0.000
Rb2 Rb 0.497 0.499 0.000
Na1 Na 0.070 0.571 0.538
Na2 Na 0.467 0.968 0.540
Na3 Na 0.522 0.496 0.518
Na4 Na 0.601 0.102 0.203
Na5 Na 0.993 0.020 0.515
Hg1 Hg 0.870 0.370 0.741



On energetic grounds, i is preferred over the next structure by 0.016 eV/atom.



i | # PBE RbNa6Hg, relaxed
# Size of the total moment ... 0.0 μB/f.u.
# DOS at the Fermi energy ... 4.8 states/eV per cell
# Crystal system ... trigonal
data_RbNa6Hg
_symmetry_space_group_name_H-M 'P 1'
_symmetry_Int_Tables_number 1
_symmetry_space_group_name_Hall 'P 1'
_cell_length_a 11.976
_cell_length_b 11.976
_cell_length_c 11.976
_cell_angle_alpha 27.39
_cell_angle_beta 27.39
_cell_angle_gamma 27.39
loop_
_atom_site_label
_atom_site_type_symbol
_atom_site_fract_x
_atom_site_fract_y
_atom_site_fract_z
Rb1 Rb 0.000 0.000 0.000
Na1 Na 0.137 0.137 0.137
Na2 Na 0.235 0.235 0.235
Na3 Na 0.409 0.409 0.409
Na4 Na 0.591 0.591 0.591
Na5 Na 0.765 0.765 0.765
Na6 Na 0.863 0.863 0.863
Hg1 Hg 0.500 0.500 0.500



ii | # PBE RbNa6Hg, relaxed
# Size of the total moment ... 0.0 μB/f.u.
# DOS at the Fermi energy ... 5.2 states/eV per cell
# Crystal system ... tetragonal
data_RbNa6Hg
_symmetry_space_group_name_H-M 'P 1'
_symmetry_Int_Tables_number 1
_symmetry_space_group_name_Hall 'P 1'
_cell_length_a 5.330
_cell_length_b 5.330
_cell_length_c 11.964
_cell_angle_alpha 90.00
_cell_angle_beta 90.00
_cell_angle_gamma 90.00
loop_
_atom_site_label
_atom_site_type_symbol
_atom_site_fract_x
_atom_site_fract_y
_atom_site_fract_z
Rb1 Rb 0.000 0.000 0.000
Na1 Na 0.000 0.500 0.353
Na2 Na 0.000 0.500 0.647
Na3 Na 0.500 0.000 0.353
Na4 Na 0.500 0.000 0.647
Na5 Na 0.500 0.500 0.148
Na6 Na 0.500 0.500 0.852
Hg1 Hg 0.000 0.000 0.500



On energetic grounds, i is preferred over the next structure by 0.017 eV/atom.



i | # PBE Rb2NaHg4, relaxed
# Size of the total moment ... 0.0 μB/f.u.
# DOS at the Fermi energy ... 5.6 states/eV per cell
# Crystal system ... tetragonal
data_Rb2NaHg4
_symmetry_space_group_name_H-M 'P 1'
_symmetry_Int_Tables_number 1
_symmetry_space_group_name_Hall 'P 1'
_cell_length_a 10.107
_cell_length_b 10.107
_cell_length_c 10.107
_cell_angle_alpha 146.85
_cell_angle_beta 146.85
_cell_angle_gamma 47.59
loop_
_atom_site_label
_atom_site_type_symbol
_atom_site_fract_x
_atom_site_fract_y
_atom_site_fract_z
Rb1 Rb 0.135 0.135 0.000
Rb2 Rb 0.865 0.865 0.000
Na1 Na 0.500 0.500 0.000
Hg1 Hg 0.000 0.500 0.500
Hg2 Hg 0.335 0.335 0.000
Hg3 Hg 0.500 0.000 0.500
Hg4 Hg 0.665 0.665 0.000



ii | # PBE Rb2NaHg4, relaxed
# Size of the total moment ... 0.0 μB/f.u.
# DOS at the Fermi energy ... 3.6 states/eV per cell
# Crystal system ... orthorhombic
data_Rb2NaHg4
_symmetry_space_group_name_H-M 'P 1'
_symmetry_Int_Tables_number 1
_symmetry_space_group_name_Hall 'P 1'
_cell_length_a 8.963
_cell_length_b 8.963
_cell_length_c 5.390
_cell_angle_alpha 90.00
_cell_angle_beta 90.00
_cell_angle_gamma 136.19
loop_
_atom_site_label
_atom_site_type_symbol
_atom_site_fract_x
_atom_site_fract_y
_atom_site_fract_z
Rb1 Rb 0.156 0.844 0.000
Rb2 Rb 0.844 0.156 0.000
Na1 Na 0.500 0.500 0.500
Hg1 Hg 0.310 0.690 0.500
Hg2 Hg 0.406 0.594 0.000
Hg3 Hg 0.594 0.406 0.000
Hg4 Hg 0.690 0.310 0.500



On energetic grounds, ii is preferred over the next structure by 0.064 eV/atom.



i | # PBE RbNa2Hg6, relaxed
# Size of the total moment ... 0.0 μB/f.u.
# DOS at the Fermi energy ... 4.2 states/eV per cell
# Crystal system ... hexagonal
data_RbNa2Hg6
_symmetry_space_group_name_H-M 'P 1'
_symmetry_Int_Tables_number 1
_symmetry_space_group_name_Hall 'P 1'
_cell_length_a 9.245
_cell_length_b 9.245
_cell_length_c 3.557
_cell_angle_alpha 90.00
_cell_angle_beta 90.00
_cell_angle_gamma 120.00
loop_
_atom_site_label
_atom_site_type_symbol
_atom_site_fract_x
_atom_site_fract_y
_atom_site_fract_z
Rb1 Rb 0.000 0.000 0.000
Na1 Na 0.333 0.667 0.000
Na2 Na 0.667 0.333 0.000
Hg1 Hg 0.000 0.341 0.500
Hg2 Hg 0.000 0.659 0.500
Hg3 Hg 0.341 0.000 0.500
Hg4 Hg 0.341 0.341 0.500
Hg5 Hg 0.659 0.000 0.500
Hg6 Hg 0.659 0.659 0.500



ii | # PBE RbNa2Hg6, relaxed
# Size of the total moment ... 0.0 μB/f.u.
# DOS at the Fermi energy ... 3.8 states/eV per cell
# Crystal system ... monoclinic
data_RbNa2Hg6
_symmetry_space_group_name_H-M 'P 1'
_symmetry_Int_Tables_number 1
_symmetry_space_group_name_Hall 'P 1'
_cell_length_a 8.207
_cell_length_b 8.207
_cell_length_c 5.235
_cell_angle_alpha 107.54
_cell_angle_beta 107.54
_cell_angle_gamma 66.10
loop_
_atom_site_label
_atom_site_type_symbol
_atom_site_fract_x
_atom_site_fract_y
_atom_site_fract_z
Rb1 Rb 0.000 0.000 0.000
Na1 Na 0.352 0.352 0.849
Na2 Na 0.648 0.648 0.151
Hg1 Hg 0.091 0.437 0.263
Hg2 Hg 0.324 0.676 0.500
Hg3 Hg 0.437 0.091 0.263
Hg4 Hg 0.563 0.909 0.737
Hg5 Hg 0.676 0.324 0.500
Hg6 Hg 0.909 0.563 0.737



On energetic grounds, i is preferred over the next structure by 0.010 eV/atom.